Entry from the Alexandria database: a relaxed Rb3Cr2CuF9 crystal (PBE+U).

The structure in POSCAR format:
```
Rb3Cr2CuF9
1.0
5.9746 0.0000 0.0000
-2.9873 5.1741 0.0000
0.0000 0.0000 7.3461
Rb Cr Cu F
3 2 1 9
direct
0.3333 0.6667 0.6538
0.0000 0.0000 0.0000
0.6667 0.3333 0.3462
0.3333 0.6667 0.1634
0.6667 0.3333 0.8366
0.0000 0.0000 0.5000
0.8277 0.1723 0.6783
0.8277 0.6554 0.6783
0.3446 0.1723 0.6783
0.6554 0.8277 0.3217
0.1723 0.3446 0.3217
0.1723 0.8277 0.3217
0.5000 0.0000 0.0000
0.0000 0.5000 0.0000
0.5000 0.5000 0.0000
```

Properties
symmetry	P-3m1
Fermi-level density of states	0.246	states/eV per atom
energy	-5.09	eV per atom